# LiPm2Pb4

A geometry-optimized LiPm2Pb4 structure (PBE-GGA, Alexandria).

Structure (POSCAR):
```
LiPm2Pb4
1.0
6.258 0.000 -0.247
0.000 6.530 0.000
-2.401 0.000 9.990
Pm Pb Li
4 8 2
direct
0.673 0.750 0.999
0.211 0.250 0.413
0.327 0.250 0.001
0.789 0.750 0.587
0.615 0.497 0.290
0.888 0.250 0.109
0.385 0.997 0.710
0.615 0.003 0.290
0.385 0.503 0.710
0.832 0.250 0.579
0.168 0.750 0.421
0.112 0.750 0.891
0.239 0.750 0.165
0.761 0.250 0.835
```

Values from the calculation:
Formation energy   -0.321 eV/atom
Magnetic moment   0.00 μB per cell
Calculated density   9.2 g cm⁻³
SG   No. 11
Distance to the lowest polymorph of the same formula   16.3 meV per atom